{"formula": "Er3Fe7Co2", "functional": "GGA-PBE", "state": "optimized geometry", "energy_ev_per_atom": -7.389, "magnetic_moment_mub_per_cell": 16.7, "delta_e_f_kj_per_mol_fu": -148, "lattice_angstrom": [[-0.838, 0.097, 4.979], [-4.732, 0.073, 1.763], [-1.928, -8.054, 2.393]], "species": ["Fe", "Co", "Fe", "Er", "Fe", "Er", "Fe", "Fe", "Er", "Fe", "Fe", "Co"], "fractional_positions": [[0.581, 0.581, 0.755], [0.667, 0.667, 0.998], [0.581, 0.082, 0.755], [0.142, 0.142, 0.574], [0.918, 0.419, 0.245], [0.000, 0.000, 0.000], [0.419, 0.419, 0.245], [0.419, 0.918, 0.245], [0.858, 0.858, 0.426], [0.500, 0.500, 0.500], [0.082, 0.581, 0.755], [0.333, 0.333, 0.002]]}